# La6Sm4Th PBE-GGA optimized geometry
# Electronic total energy ... -4.953 eV per atom
# DOS(E_F) ... 1.65 states/eV per atom
data_La6Sm4Th
_cell_length_a 6.0200
_cell_length_b 5.7827
_cell_length_c 26.3011
_cell_angle_alpha 90.00
_cell_angle_beta 90.00
_cell_angle_gamma 121.37
_symmetry_space_group_name_H-M 'P 1'
_symmetry_Int_Tables_number 1
loop_
_symmetry_equiv_pos_as_xyz
'x,y,z'
loop_
_atom_site_label
_atom_site_type_symbol
_atom_site_fract_x
_atom_site_fract_y
_atom_site_fract_z
_atom_site_occupancy
Sm1 Sm 0.5547 0.1093 0.8762 1
La1 La 0.5598 0.1196 0.7500 1
La2 La 0.2062 0.4124 0.8981 1
La3 La 0.8871 0.7741 0.6821 1
La4 La 0.7938 0.5876 0.3981 1
La5 La 0.1129 0.2259 0.3179 1
La6 La 0.5000 0.0000 0.5000 1
Th1 Th 0.2163 0.4327 0.7500 1
La7 La 0.4402 0.8804 0.2500 1
La8 La 0.8871 0.7741 0.8179 1
Sm2 Sm 0.4453 0.8907 0.3762 1
Sm3 Sm 0.4453 0.8907 0.1238 1
La9 La 0.7938 0.5876 0.1019 1
Sm4 Sm 0.5547 0.1093 0.6238 1
Sm5 Sm 0.8513 0.7026 0.5437 1
Sm6 Sm 0.8513 0.7026 0.9563 1
Sm7 Sm 0.1487 0.2974 0.0437 1
Sm8 Sm 0.1487 0.2974 0.4563 1
La10 La 0.5000 0.0000 0.0000 1
Th2 Th 0.7837 0.5673 0.2500 1
La11 La 0.1129 0.2259 0.1821 1
La12 La 0.2062 0.4124 0.6019 1



# La7Sm2Th2 PBE-GGA optimized geometry
# Offset from the most stable computed form ... 0.00 eV per formula unit
# Electronic total energy ... -5.238 eV per atom
# DOS(E_F) ... 1.61 states/eV per atom
data_La7Sm2Th2
_cell_length_a 6.4735
_cell_length_b 6.4735
_cell_length_c 10.2505
_cell_angle_alpha 91.49
_cell_angle_beta 91.49
_cell_angle_gamma 113.94
_symmetry_space_group_name_H-M 'P 1'
_symmetry_Int_Tables_number 1
loop_
_symmetry_equiv_pos_as_xyz
'x,y,z'
loop_
_atom_site_label
_atom_site_type_symbol
_atom_site_fract_x
_atom_site_fract_y
_atom_site_fract_z
_atom_site_occupancy
Sm1 Sm 0.2751 0.7249 0.5000 1
La1 La 0.8147 0.4085 0.8497 1
La2 La 0.5915 0.1853 0.1503 1
Th1 Th 0.8253 0.8253 0.6382 1
La3 La 0.2938 0.2938 0.7009 1
La4 La 0.1853 0.5915 0.1503 1
La5 La 0.0000 0.0000 0.0000 1
Sm2 Sm 0.7249 0.2751 0.5000 1
La6 La 0.7062 0.7062 0.2991 1
La7 La 0.4085 0.8147 0.8497 1
Th2 Th 0.1747 0.1747 0.3618 1



# La12Sm7Th PBE-GGA optimized geometry
# Offset from the most stable computed form ... 0.00 eV per formula unit
# Electronic total energy ... -4.900 eV per atom
# DOS(E_F) ... 1.36 states/eV per atom
data_La12Sm7Th
_cell_length_a 9.0743
_cell_length_b 9.0743
_cell_length_c 9.0743
_cell_angle_alpha 100.15
_cell_angle_beta 100.15
_cell_angle_gamma 100.15
_symmetry_space_group_name_H-M 'P 1'
_symmetry_Int_Tables_number 1
loop_
_symmetry_equiv_pos_as_xyz
'x,y,z'
loop_
_atom_site_label
_atom_site_type_symbol
_atom_site_fract_x
_atom_site_fract_y
_atom_site_fract_z
_atom_site_occupancy
Sm1 Sm 0.5000 0.5000 0.5000 1
La1 La 0.4092 0.4092 0.8409 1
La2 La 0.9998 0.2572 0.7429 1
Sm2 Sm 0.1494 0.4060 0.1492 1
La3 La 0.5908 0.5908 0.1591 1
La4 La 0.2571 0.0002 0.7428 1
Sm3 Sm 0.8506 0.5940 0.8508 1
La5 La 0.8409 0.4092 0.4092 1
La6 La 0.2572 0.7429 0.9998 1
Sm4 Sm 0.5940 0.8508 0.8506 1
La7 La 0.4092 0.8409 0.4092 1
Sm5 Sm 0.8508 0.8506 0.5940 1
Th1 Th 0.0000 0.0000 0.0000 1
La8 La 0.0002 0.7428 0.2571 1
La9 La 0.1591 0.5908 0.5908 1
Sm6 Sm 0.4060 0.1492 0.1494 1
La10 La 0.7429 0.9998 0.2572 1
La11 La 0.5908 0.1591 0.5908 1
La12 La 0.7428 0.2571 0.0002 1
Sm7 Sm 0.1492 0.1494 0.4060 1



# LaSmTh2 PBE-GGA optimized geometry
# Offset from the most stable computed form ... 0.78 eV per formula unit
# Electronic total energy ... -5.899 eV per atom
# DOS(E_F) ... 2.78 states/eV per atom
data_LaSmTh2
_cell_length_a 5.7484
_cell_length_b 5.7484
_cell_length_c 5.7484
_cell_angle_alpha 60.00
_cell_angle_beta 60.00
_cell_angle_gamma 60.00
_symmetry_space_group_name_H-M 'P 1'
_symmetry_Int_Tables_number 1
loop_
_symmetry_equiv_pos_as_xyz
'x,y,z'
loop_
_atom_site_label
_atom_site_type_symbol
_atom_site_fract_x
_atom_site_fract_y
_atom_site_fract_z
_atom_site_occupancy
Th1 Th 0.2500 0.2500 0.2500 1
Sm1 Sm 0.0000 0.0000 0.0000 1
Th2 Th 0.7500 0.7500 0.7500 1
La1 La 0.5000 0.5000 0.5000 1



# LaSm9Th2 PBE-GGA optimized geometry
# Electronic total energy ... -5.150 eV per atom
# DOS(E_F) ... 1.26 states/eV per atom
data_LaSm9Th2
_cell_length_a 5.1259
_cell_length_b 5.1259
_cell_length_c 15.3983
_cell_angle_alpha 90.00
_cell_angle_beta 90.00
_cell_angle_gamma 90.00
_symmetry_space_group_name_H-M 'P 1'
_symmetry_Int_Tables_number 1
loop_
_symmetry_equiv_pos_as_xyz
'x,y,z'
loop_
_atom_site_label
_atom_site_type_symbol
_atom_site_fract_x
_atom_site_fract_y
_atom_site_fract_z
_atom_site_occupancy
Th1 Th 0.0000 0.0000 0.3344 1
Sm1 Sm 0.5000 0.0000 0.8282 1
Sm2 Sm 0.5000 0.0000 0.5000 1
Sm3 Sm 0.0000 0.5000 0.8282 1
Sm4 Sm 0.0000 0.5000 0.5000 1
Sm5 Sm 0.5000 0.5000 0.3347 1
Sm6 Sm 0.5000 0.0000 0.1718 1
Sm7 Sm 0.5000 0.5000 0.6653 1
Sm8 Sm 0.0000 0.5000 0.1718 1
Th2 Th 0.0000 0.0000 0.6656 1
La1 La 0.0000 0.0000 0.0000 1
Sm9 Sm 0.5000 0.5000 0.0000 1



# La4Sm4Th PBE-GGA optimized geometry
# Electronic total energy ... -5.081 eV per atom
# DOS(E_F) ... 1.68 states/eV per atom
data_La4Sm4Th
_cell_length_a 5.2184
_cell_length_b 8.1912
_cell_length_c 8.1912
_cell_angle_alpha 84.18
_cell_angle_beta 71.43
_cell_angle_gamma 71.43
_symmetry_space_group_name_H-M 'P 1'
_symmetry_Int_Tables_number 1
loop_
_symmetry_equiv_pos_as_xyz
'x,y,z'
loop_
_atom_site_label
_atom_site_type_symbol
_atom_site_fract_x
_atom_site_fract_y
_atom_site_fract_z
_atom_site_occupancy
La1 La 0.3390 0.0000 0.3220 1
La2 La 0.3390 0.3220 0.0000 1
Th1 Th 0.0000 0.0000 0.0000 1
Sm1 Sm 0.0000 0.3310 0.6690 1
Sm2 Sm 0.6690 0.3310 0.3310 1
Sm3 Sm 0.0000 0.6690 0.3310 1
Sm4 Sm 0.3310 0.6690 0.6690 1
La3 La 0.6610 0.6780 0.0000 1
La4 La 0.6610 0.0000 0.6780 1



# La6Sm3Th2 PBE-GGA optimized geometry
# Electronic total energy ... -5.304 eV per atom
# DOS(E_F) ... 1.63 states/eV per atom
data_La6Sm3Th2
_cell_length_a 3.6598
_cell_length_b 3.6598
_cell_length_c 33.2329
_cell_angle_alpha 86.84
_cell_angle_beta 86.84
_cell_angle_gamma 60.00
_symmetry_space_group_name_H-M 'P 1'
_symmetry_Int_Tables_number 1
loop_
_symmetry_equiv_pos_as_xyz
'x,y,z'
loop_
_atom_site_label
_atom_site_type_symbol
_atom_site_fract_x
_atom_site_fract_y
_atom_site_fract_z
_atom_site_occupancy
La1 La 0.0919 0.0919 0.7244 1
Sm1 Sm 0.0000 0.0000 0.0000 1
Th1 Th 0.4543 0.4543 0.6372 1
Sm2 Sm 0.2730 0.2730 0.1810 1
La2 La 0.8165 0.8165 0.5504 1
La3 La 0.6363 0.6363 0.0912 1
La4 La 0.3637 0.3637 0.9088 1
La5 La 0.1835 0.1835 0.4496 1
La6 La 0.9081 0.9081 0.2756 1
Th2 Th 0.5457 0.5457 0.3628 1
Sm3 Sm 0.7270 0.7270 0.8190 1



# La2Sm3Th PBE-GGA optimized geometry
# Offset from the most stable computed form ... 0.31 eV per formula unit
# Electronic total energy ... -5.109 eV per atom
# DOS(E_F) ... 1.54 states/eV per atom
data_La2Sm3Th
_cell_length_a 7.1198
_cell_length_b 9.2305
_cell_length_c 7.1278
_cell_angle_alpha 101.12
_cell_angle_beta 90.00
_cell_angle_gamma 112.69
_symmetry_space_group_name_H-M 'P 1'
_symmetry_Int_Tables_number 1
loop_
_symmetry_equiv_pos_as_xyz
'x,y,z'
loop_
_atom_site_label
_atom_site_type_symbol
_atom_site_fract_x
_atom_site_fract_y
_atom_site_fract_z
_atom_site_occupancy
La1 La 0.3436 0.6885 0.9217 1
Sm1 Sm 0.8496 0.7018 0.9263 1
Sm2 Sm 0.1504 0.2982 0.0737 1
La2 La 0.6550 0.3115 0.5783 1
Th1 Th 0.7499 0.0000 0.2500 1
Sm3 Sm 0.7486 0.0000 0.7500 1
Sm4 Sm 0.8522 0.7018 0.4263 1
Sm5 Sm 0.1478 0.2982 0.5737 1
Sm6 Sm 0.2514 0.0000 0.2500 1
Th2 Th 0.2501 0.0000 0.7500 1
La3 La 0.3450 0.6885 0.4217 1
La4 La 0.6564 0.3115 0.0783 1



Calculated formation energy (eV per atom)
0.13 0.10 0.08 0.22 0.04 0.03 0.02 0.13